# 1
First-principles (PBEsol) data for a relaxed SrSc2SbSe crystal, as listed in Alexandria.

a b c (Å): 5.518 5.518 5.177
angles (deg): 90.00 90.00 90.00
Space group P4/mmm (No. 123)
Inequivalent atoms, fractional coordinates:
1 Sr 0.000 0.000 0.000 (multiplicity 1)
2 Sc 0.000 0.500 0.000 (multiplicity 2)
3 Sb 0.500 0.500 0.500 (multiplicity 1)
4 Se 0.000 0.000 0.500 (multiplicity 1)

---

# 2
First-principles (PBEsol) data for a relaxed ScSi2Sb crystal, as listed in Alexandria.

a b c (Å): 3.658 4.440 4.588
angles (deg): 90.00 90.00 90.00
Space group Pmmm (No. 47)
Inequivalent atoms, fractional coordinates:
1 Sc 0.000 0.000 0.000 (multiplicity 1)
2 Si 0.500 0.000 0.500 (multiplicity 1)
3 Si 0.500 0.500 0.000 (multiplicity 1)
4 Sb 0.000 0.500 0.500 (multiplicity 1)

---

# 3
First-principles (PBEsol) data for a relaxed ScSiSb4 crystal, as listed in Alexandria.

a b c (Å): 8.531 8.531 8.531
angles (deg): 90.00 90.00 90.00
Space group F-43m (No. 216)
Inequivalent atoms, fractional coordinates:
1 Sc 0.000 0.000 0.000 (multiplicity 4)
2 Si 0.250 0.250 0.750 (multiplicity 4)
3 Sb 0.125 0.125 0.375 (multiplicity 16)

---

# 4
First-principles (PBEsol) data for a relaxed Sc4SiSb crystal, as listed in Alexandria.

a b c (Å): 7.959 7.959 7.959
angles (deg): 90.00 90.00 90.00
Space group F-43m (No. 216)
Inequivalent atoms, fractional coordinates:
1 Sc 0.125 0.125 0.125 (multiplicity 16)
2 Si 0.250 0.250 0.750 (multiplicity 4)
3 Sb 0.000 0.000 0.500 (multiplicity 4)

---

# 5
First-principles (PBEsol) data for a relaxed ScSi2Sb crystal, as listed in Alexandria.

a b c (Å): 3.111 3.111 7.832
angles (deg): 90.00 90.00 90.00
Space group P4/mmm (No. 123)
Inequivalent atoms, fractional coordinates:
1 Sc 0.000 0.000 0.000 (multiplicity 1)
2 Si 0.500 0.500 0.228 (multiplicity 2)
3 Sb 0.000 0.000 0.500 (multiplicity 1)

---

# 6
First-principles (PBEsol) data for a relaxed Sc2SiSb crystal, as listed in Alexandria.

a b c (Å): 6.869 6.869 6.869
angles (deg): 90.00 90.00 90.00
Space group F-43m (No. 216)
Inequivalent atoms, fractional coordinates:
1 Sc 0.000 0.000 0.000 (multiplicity 4)
2 Sc 0.250 0.250 0.250 (multiplicity 4)
3 Si 0.000 0.000 0.500 (multiplicity 4)
4 Sb 0.250 0.250 0.750 (multiplicity 4)

---

# 7
First-principles (PBEsol) data for a relaxed ScSiSb2 crystal, as listed in Alexandria.

a b c (Å): 4.864 4.864 3.635
angles (deg): 90.00 90.00 90.00
Space group P4/mmm (No. 123)
Inequivalent atoms, fractional coordinates:
1 Sc 0.000 0.000 0.000 (multiplicity 1)
2 Si 0.500 0.500 0.000 (multiplicity 1)
3 Sb 0.000 0.500 0.500 (multiplicity 2)

---

# 8
First-principles (PBEsol) data for a relaxed ScSi2Sb crystal, as listed in Alexandria.

a b c (Å): 3.685 3.739 5.757
angles (deg): 90.00 102.87 90.00
Space group P2/m (No. 10)
Inequivalent atoms, fractional coordinates:
1 Sc 0.000 0.000 0.000 (multiplicity 1)
2 Si 0.465 0.500 0.792 (multiplicity 2)
3 Sb 0.000 0.000 0.500 (multiplicity 1)

---

Number 1: formation energy from raw total energies 80.23 kJ/mol of atoms. Number 2: formation energy from raw total energies -14.66 kJ/mol of atoms. Number 3: formation energy from raw total energies 36.13 kJ/mol of atoms. Number 4: formation energy from raw total energies 2.36 kJ/mol of atoms. Number 5: formation energy from raw total energies 1.46 kJ/mol of atoms. Number 6: formation energy from raw total energies -10.54 kJ/mol of atoms. Number 7: formation energy from raw total energies -16.48 kJ/mol of atoms. Number 8: formation energy from raw total energies -19.46 kJ/mol of atoms.